{
  "formula": "SrCrRu2",
  "functional": "GGA-PBE",
  "state": "optimized geometry",
  "sg": "No. 225",
  "delta_e_f_ev_per_atom": 0.8604,
  "de_polymorph_mev_per_atom": 500,
  "mass_density_g_cm3": 8.496,
  "lattice": [[0.000, 3.220, 3.220], [3.220, 0.000, 3.220], [3.220, 3.220, 0.000]],
  "species": ["Ru", "Ru", "Sr", "Cr"],
  "fractional_positions": [[0.250, 0.250, 0.250], [0.750, 0.750, 0.750], [0.500, 0.500, 0.500], [0.000, 0.000, 0.000]]
}



{
  "formula": "SrCr2Ru",
  "functional": "GGA-PBE",
  "state": "optimized geometry",
  "sg": "No. 12",
  "delta_e_f_ev_per_atom": 0.6104,
  "de_polymorph_mev_per_atom": 68,
  "mass_density_g_cm3": 6.117,
  "lattice": [[4.846, -0.008, 0.012], [3.835, 2.963, 0.012], [1.198, 0.408, 5.524]],
  "species": ["Sr", "Ru", "Cr", "Cr"],
  "fractional_positions": [[0.750, 0.750, 0.750], [0.250, 0.250, 0.250], [0.961, 0.961, 0.144], [0.539, 0.539, 0.356]]
}